{
  "formula": "KBHPd2",
  "functional": "GGA-PBE",
  "state": "relaxed",
  "lattice_angstrom": [[4.076, 0.000, 0.000], [0.000, 5.663, 0.000], [0.000, 0.000, 4.076]],
  "species": ["B", "H", "Pd", "Pd", "K"],
  "fractional_positions": [[0.000, 0.000, 0.000], [0.000, 0.500, 0.000], [0.500, 0.000, 0.000], [0.000, 0.000, 0.500], [0.500, 0.500, 0.500]],
  "mass_density_g_cm3": 4.657,
  "e_tot_ev_per_atom": -3.9857,
  "spacegroup": "P4/mmm, No. 123"
}